Run a
# Ir2RuRh3

A geometry-optimized Ir2RuRh3 structure (GGA-PBE, Alexandria).

a b c (Å): 8.1537 9.5734 2.6650
angles (deg): 90.00 90.00 90.00
Atoms (fractional coordinates):
Ir 0.0414 0.2283 0.0000
Ir 0.4586 0.7283 0.5000
Ir 0.5414 0.2717 0.5000
Ir 0.9586 0.7717 0.0000
Ru 0.0000 0.0000 0.5000
Ru 0.5000 0.5000 0.0000
Rh 0.0000 0.5000 0.0000
Rh 0.2461 0.3792 0.5000
Rh 0.2539 0.8792 0.0000
Rh 0.5000 0.0000 0.5000
Rh 0.7461 0.1208 0.0000
Rh 0.7539 0.6208 0.5000

DOS at the Fermi energy in states/eV/atom: 1.6916
Total magnetization in Bohr magnetons per cell: 0.000
Symmetry: No. 58
Calculated density in kg/m³: 12679

---

Run b
# Ir2RuRh3

A geometry-optimized Ir2RuRh3 structure (GGA-PBE, Alexandria).

a b c (Å): 5.4320 3.8405 8.1953
angles (deg): 90.00 90.15 90.00
Atoms (fractional coordinates):
Ir 0.1218 0.2500 0.4202
Ir 0.3739 0.7500 0.9152
Ir 0.6261 0.2500 0.0848
Ir 0.8782 0.7500 0.5798
Ru 0.1258 0.2500 0.7466
Ru 0.8742 0.7500 0.2534
Rh 0.1232 0.2500 0.0832
Rh 0.3737 0.7500 0.2470
Rh 0.3738 0.7500 0.5881
Rh 0.6262 0.2500 0.4119
Rh 0.6263 0.2500 0.7530
Rh 0.8768 0.7500 0.9168

DOS at the Fermi energy in states/eV/atom: 1.0710
Total magnetization in Bohr magnetons per cell: 0.000
Symmetry: No. 11
Calculated density in kg/m³: 15428

---

Most stable structure, least stable structure: run b, run a.